(1)
Material: KSrMnSn2
Method: DFT, PBE
State: optimized geometry

```
5
Lattice="5.0263 0.0000 0.0000 0.0000 5.0263 0.0000 0.0000 0.0000 5.3090" Properties=species:S:1:pos:R:3 pbc="T T T"
K 0.0000 0.0000 0.0000
Sr 2.5131 2.5131 0.0000
Mn 2.5131 2.5131 2.6545
Sn 0.0000 2.5131 2.6545
Sn 2.5131 0.0000 2.6545
```

For the formation energy, the calculation gives 88 meV/atom. The raw total energy comes out at -19.5 eV for the cell shown. The density of states at the Fermi level comes out at 0.91 states/eV per atom.

=====

(2)
Material: Sm2Dy3Bi2
Method: DFT, PBE
State: optimized geometry

```
7
Lattice="6.1671 -2.1746 0.0000 6.1671 2.1746 0.0000 -2.8273 0.0000 8.2624" Properties=species:S:1:pos:R:3 pbc="T T T"
Sm 0.7727 0.0000 2.3108
Sm 8.7342 0.0000 5.9515
Dy 4.4755 0.0000 0.4419
Dy 4.7535 0.0000 4.1312
Dy 5.0314 0.0000 7.8205
Bi 0.1724 0.0000 5.7387
Bi 9.3345 0.0000 2.5237
```

For the formation energy, the calculation gives -472 meV/atom. The raw total energy comes out at -34.3 eV for the cell shown. The density of states at the Fermi level comes out at 1.09 states/eV per atom.

=====

(3)
Material: Rb2SrCdF
Method: DFT, PBE
State: optimized geometry

```
5
Lattice="6.2684 0.0000 0.0000 0.0000 6.2684 0.0000 0.0000 0.0000 4.9757" Properties=species:S:1:pos:R:3 pbc="T T T"
Rb 0.0000 3.1342 0.0000
Rb 3.1342 0.0000 0.0000
Sr 0.0000 0.0000 2.4878
Cd 3.1342 3.1342 2.4878
F 0.0000 0.0000 0.0000
```

The raw total energy comes out at -11.5 eV for the cell shown. The density of states at the Fermi level comes out at 0.61 states/eV per atom. For the formation energy (no corrections), the calculation gives -1.019 eV per atom.

=====

(4)
Material: Ac2Pd12Pt3Au
Method: DFT, PBE
State: optimized geometry

```
18
Lattice="4.6395 2.6786 4.4737 -4.6395 2.6786 4.4737 0.0000 -5.3572 4.4737" Properties=species:S:1:pos:R:3 pbc="T T T"
Ac 0.0000 0.0000 3.0867
Ac 0.0000 0.0000 10.3344
Pd 0.0000 -2.9701 3.6182
Pd -2.5722 1.4851 3.6182
Pd -2.2724 -1.3120 7.1944
Pd 0.0000 -2.6240 6.2268
Pd -2.2724 1.3120 6.2268
Pd -2.5722 -1.4851 9.8029
Pd 2.5722 1.4851 3.6183
Pd 2.2724 -1.3120 7.1943
Pd 0.0000 2.6240 7.1943
Pd 2.2724 1.3120 6.2268
Pd 2.5722 -1.4851 9.8029
Pd 0.0000 2.9701 9.8029
Pt -2.3197 -1.3393 4.4737
Pt -2.3197 1.3393 8.9474
Pt 0.0000 2.6786 4.4737
Au 0.0000 0.0000 6.7106
```

For the formation energy, the calculation gives -242 meV/atom. The raw total energy comes out at -96.3 eV for the cell shown. The density of states at the Fermi level comes out at 0.93 states/eV per atom.

=====

(5)
Material: Ba4PHAu2
Method: DFT, PBE
State: optimized geometry

```
8
Lattice="7.8692 0.0000 0.0000 0.0000 4.6485 0.0000 -2.7092 0.0000 7.7214" Properties=species:S:1:pos:R:3 pbc="T T T"
Ba 1.2869 0.0000 1.8084
Ba -0.1035 2.3242 5.9364
Ba 5.2635 2.3242 1.7851
Ba 3.8731 0.0000 5.9130
P 0.0000 2.3242 0.0000
H 3.9346 0.0000 0.0000
Au -1.3546 0.0000 3.8607
Au 2.5800 2.3242 3.8607
```

The raw total energy comes out at -28.3 eV for the cell shown. The density of states at the Fermi level comes out at 0.68 states/eV per atom.

=====

(6)
Material: KBeTc2Cl
Method: DFT, PBE
State: optimized geometry

```
5
Lattice="5.3022 0.0000 0.0000 0.0000 5.3022 0.0000 0.0000 0.0000 5.1281" Properties=species:S:1:pos:R:3 pbc="T T T"
K 0.0000 0.0000 0.0000
Be 0.0000 0.0000 2.5640
Tc 0.0000 2.6511 0.0000
Tc 2.6511 0.0000 0.0000
Cl 2.6511 2.6511 2.5640
```

The raw total energy comes out at -13.2 eV for the cell shown. The density of states at the Fermi level comes out at 0.91 states/eV per atom. For the formation energy (no corrections), the calculation gives 2.846 eV per atom.

=====

Number 1: ρ 5.19 Mg/m³. Number 2: ρ 9.04 Mg/m³. Number 3: ρ 3.31 Mg/m³. Number 4: ρ 12.51 Mg/m³. Number 5: ρ 5.73 Mg/m³. Number 6: ρ 3.22 Mg/m³.